No. 1
VASP calculation (PBE-GGA) on a geometry-optimized Al2CrCd structure.

```
data_Al2CrCd
_chemical_formula_sum 'Al2 Cr1 Cd1'
_cell_length_a 3.048
_cell_length_b 3.907
_cell_length_c 5.657
_cell_angle_alpha 90.00
_cell_angle_beta 90.00
_cell_angle_gamma 90.00
_symmetry_space_group_name_H-M 'P 1'
_symmetry_Int_Tables_number 1
loop_
_symmetry_equiv_pos_as_xyz
'x,y,z'
loop_
_atom_site_label
_atom_site_fract_x
_atom_site_fract_y
_atom_site_fract_z
_atom_site_occupancy
Al1 0.000 0.000 0.984 1
Cd1 0.000 0.000 0.500 1
Cr1 0.500 0.500 0.777 1
Al2 0.500 0.500 0.239 1
```

Values from the calculation:
Energy of formation from the pure elements ... 0.63 eV per formula unit
Space-group type ... Pmm2 (25)

=====

No. 2
VASP calculation (PBE-GGA) on a geometry-optimized TmScAsS structure.

```
data_TmScAsS
_chemical_formula_sum 'Tm1 Sc1 As1 S1'
_cell_length_a 3.855
_cell_length_b 3.855
_cell_length_c 5.545
_cell_angle_alpha 89.98
_cell_angle_beta 90.00
_cell_angle_gamma 90.00
_symmetry_space_group_name_H-M 'P 1'
_symmetry_Int_Tables_number 1
loop_
_symmetry_equiv_pos_as_xyz
'x,y,z'
loop_
_atom_site_label
_atom_site_fract_x
_atom_site_fract_y
_atom_site_fract_z
_atom_site_occupancy
Sc1 0.000 0.892 0.592 1
S1 0.000 0.891 0.092 1
As1 0.500 0.392 0.593 1
Tm1 0.500 0.391 0.093 1
```

Values from the calculation:
Raw formation energy ... -1.70 eV per atom
Space-group type ... P4/mmm (123)

=====

No. 3
VASP calculation (PBE-GGA) on a geometry-optimized LiMnRe2Os structure.

```
data_LiMnRe2Os
_chemical_formula_sum 'Li1 Mn1 Re2 Os1'
_cell_length_a 4.071
_cell_length_b 4.030
_cell_length_c 4.071
_cell_angle_alpha 90.00
_cell_angle_beta 90.00
_cell_angle_gamma 90.00
_symmetry_space_group_name_H-M 'P 1'
_symmetry_Int_Tables_number 1
loop_
_symmetry_equiv_pos_as_xyz
'x,y,z'
loop_
_atom_site_label
_atom_site_fract_x
_atom_site_fract_y
_atom_site_fract_z
_atom_site_occupancy
Li1 0.000 0.000 0.000 1
Mn1 0.500 0.500 0.500 1
Re1 0.000 0.000 0.500 1
Re2 0.500 0.000 0.000 1
Os1 0.000 0.500 0.000 1
```

Values from the calculation:
Energy of formation from the pure elements ... 6.98 eV per formula unit
Space-group type ... P4/mmm (123)

=====

no.,total energy (eV per atom)
1,-4.35
2,-6.59
3,-8.05